--- A ---
! Tb3Sm4Ho2, optimized geometry, DFT PBE-GGA; values from VASP
! DOS(E_F) = 1.495 states/eV per atom
! volume = 584 Å³/cell
! SG = Cccm
&SYSTEM
  ibrav = 0, nat = 18, ntyp = 3
/
ATOMIC_SPECIES
Tb 158.93 Tb.upf
Sm 150.36 Sm.upf
Ho 164.93 Ho.upf
CELL_PARAMETERS angstrom
4.9051 -8.4569 0.0000
4.9051 8.4569 0.0000
0.0000 0.0000 7.0443
ATOMIC_POSITIONS crystal
Tb 0.0000 0.0000 0.2500
Tb 0.0000 0.0000 0.7500
Tb 0.3301 0.6699 0.2500
Tb 0.3301 0.6699 0.7500
Tb 0.6699 0.3301 0.2500
Tb 0.6699 0.3301 0.7500
Sm 0.0202 0.6763 0.0000
Sm 0.3220 0.3470 0.0000
Sm 0.3237 0.9798 0.5000
Sm 0.3470 0.3220 0.5000
Sm 0.6530 0.6780 0.5000
Sm 0.6763 0.0202 0.5000
Sm 0.6780 0.6530 0.0000
Sm 0.9798 0.3237 0.0000
Ho 0.0214 0.3439 0.5000
Ho 0.3439 0.0214 0.0000
Ho 0.6561 0.9786 0.0000
Ho 0.9786 0.6561 0.5000

---

--- B ---
! Tb3Sm4Ho2, optimized geometry, DFT PBE-GGA; values from VASP
! DOS(E_F) = 1.303 states/eV per atom
! volume = 292 Å³/cell
! SG = P-1
&SYSTEM
  ibrav = 0, nat = 9, ntyp = 3
/
ATOMIC_SPECIES
Tb 158.93 Tb.upf
Sm 150.36 Sm.upf
Ho 164.93 Ho.upf
CELL_PARAMETERS angstrom
6.1986 0.0000 0.0000
-3.0990 5.3782 0.0000
-0.0150 -3.5595 8.7694
ATOMIC_POSITIONS crystal
Tb 0.0000 0.0000 0.0000
Tb 0.4438 0.5550 0.3345
Tb 0.5562 0.4450 0.6655
Sm 0.1112 0.8890 0.3342
Sm 0.3339 0.6673 0.9999
Sm 0.6661 0.3327 0.0001
Sm 0.8888 0.1110 0.6658
Ho 0.2217 0.7771 0.6657
Ho 0.7783 0.2229 0.3343

---

In terms of stability, B leads; the second structure lies 42 meV per atom higher.

---

--- A ---
! TbSmHo2, optimized geometry, DFT PBE-GGA; values from VASP
! DOS(E_F) = 2.272 states/eV per atom
! volume = 129 Å³/cell
! SG = Fm-3m
&SYSTEM
  ibrav = 0, nat = 4, ntyp = 3
/
ATOMIC_SPECIES
Tb 158.93 Tb.upf
Sm 150.36 Sm.upf
Ho 164.93 Ho.upf
CELL_PARAMETERS angstrom
0.0000 4.0121 4.0121
4.0121 0.0000 4.0121
4.0121 4.0121 0.0000
ATOMIC_POSITIONS crystal
Tb 0.0000 0.0000 0.0000
Sm 0.5000 0.5000 0.5000
Ho 0.2500 0.2500 0.2500
Ho 0.7500 0.7500 0.7500

---

--- B ---
! TbSmHo2, optimized geometry, DFT PBE-GGA; values from VASP
! DOS(E_F) = 1.473 states/eV per atom
! volume = 127 Å³/cell
! SG = P4/mmm
&SYSTEM
  ibrav = 0, nat = 4, ntyp = 3
/
ATOMIC_SPECIES
Tb 158.93 Tb.upf
Sm 150.36 Sm.upf
Ho 164.93 Ho.upf
CELL_PARAMETERS angstrom
5.0377 0.0000 0.0000
0.0000 5.0377 0.0000
0.0000 0.0000 5.0192
ATOMIC_POSITIONS crystal
Tb 0.0000 0.0000 0.0000
Sm 0.5000 0.5000 0.0000
Ho 0.0000 0.5000 0.5000
Ho 0.5000 0.0000 0.5000

---

In terms of stability, B leads; the second structure lies 115 meV per atom higher.

---

--- A ---
! Tb3SmHo5, optimized geometry, DFT PBE-GGA; values from VASP
! DOS(E_F) = 1.269 states/eV per atom
! volume = 637 Å³/cell
! SG = C2/m
&SYSTEM
  ibrav = 0, nat = 18, ntyp = 3
/
ATOMIC_SPECIES
Tb 158.93 Tb.upf
Sm 150.36 Sm.upf
Ho 164.93 Ho.upf
CELL_PARAMETERS angstrom
8.0171 -4.3397 0.0000
8.0171 4.3397 0.0000
-7.4975 0.0000 9.1557
ATOMIC_POSITIONS crystal
Tb 0.0000 0.0000 0.0000
Tb 0.0000 0.0000 0.5000
Tb 0.2556 0.2556 0.1935
Tb 0.2753 0.2753 0.7065
Tb 0.7247 0.7247 0.2935
Tb 0.7444 0.7444 0.8065
Sm 0.1407 0.1407 0.3548
Sm 0.8593 0.8593 0.6452
Ho 0.0696 0.7077 0.1734
Ho 0.2923 0.9304 0.8266
Ho 0.3190 0.6810 0.0000
Ho 0.3451 0.3451 0.0259
Ho 0.4442 0.4442 0.5990
Ho 0.5558 0.5558 0.4010
Ho 0.6549 0.6549 0.9741
Ho 0.6810 0.3190 0.0000
Ho 0.7077 0.0696 0.1734
Ho 0.9304 0.2923 0.8266

---

--- B ---
! Tb3SmHo5, optimized geometry, DFT PBE-GGA; values from VASP
! DOS(E_F) = 1.492 states/eV per atom
! volume = 582 Å³/cell
! SG = C2/c
&SYSTEM
  ibrav = 0, nat = 18, ntyp = 3
/
ATOMIC_SPECIES
Tb 158.93 Tb.upf
Sm 150.36 Sm.upf
Ho 164.93 Ho.upf
CELL_PARAMETERS angstrom
8.1369 -3.3340 0.0000
8.1369 3.3340 0.0000
-3.5935 0.0000 10.7231
ATOMIC_POSITIONS crystal
Tb 0.0000 0.0000 0.0000
Tb 0.0000 0.0000 0.5000
Tb 0.0557 0.2962 0.3740
Tb 0.2962 0.0557 0.8740
Tb 0.7038 0.9443 0.1260
Tb 0.9443 0.7038 0.6260
Sm 0.2290 0.7710 0.2500
Sm 0.7710 0.2290 0.7500
Ho 0.1389 0.3867 0.1450
Ho 0.3180 0.6820 0.7500
Ho 0.3867 0.1389 0.6450
Ho 0.3870 0.3975 0.9546
Ho 0.3975 0.3870 0.4546
Ho 0.6025 0.6130 0.5454
Ho 0.6130 0.6025 0.0454
Ho 0.6133 0.8611 0.3550
Ho 0.6820 0.3180 0.2500
Ho 0.8611 0.6133 0.8550

---

In terms of stability, B leads; the second structure lies 294 meV per atom higher.

---

--- A ---
! Tb12Sm7Ho, optimized geometry, DFT PBE-GGA; values from VASP
! DOS(E_F) = 1.246 states/eV per atom
! volume = 726 Å³/cell
! SG = Im-3m
&SYSTEM
  ibrav = 0, nat = 20, ntyp = 3
/
ATOMIC_SPECIES
Tb 158.93 Tb.upf
Sm 150.36 Sm.upf
Ho 164.93 Ho.upf
CELL_PARAMETERS angstrom
-5.6618 5.6618 5.6618
5.6618 -5.6618 5.6618
5.6618 5.6618 -5.6618
ATOMIC_POSITIONS crystal
Tb 0.0000 0.2473 0.7527
Tb 0.0000 0.7527 0.2473
Tb 0.2473 0.0000 0.7527
Tb 0.2473 0.2473 0.4946
Tb 0.2473 0.4946 0.2473
Tb 0.2473 0.7527 0.0000
Tb 0.4946 0.2473 0.2473
Tb 0.5054 0.7527 0.7527
Tb 0.7527 0.0000 0.2473
Tb 0.7527 0.2473 0.0000
Tb 0.7527 0.5054 0.7527
Tb 0.7527 0.7527 0.5054
Sm 0.0000 0.0000 0.5000
Sm 0.0000 0.5000 0.0000
Sm 0.0000 0.5000 0.5000
Sm 0.5000 0.0000 0.0000
Sm 0.5000 0.0000 0.5000
Sm 0.5000 0.5000 0.0000
Sm 0.5000 0.5000 0.5000
Ho 0.0000 0.0000 0.0000

---

--- B ---
! Tb12Sm7Ho, optimized geometry, DFT PBE-GGA; values from VASP
! DOS(E_F) = 1.848 states/eV per atom
! volume = 673 Å³/cell
! SG = R-3
&SYSTEM
  ibrav = 0, nat = 20, ntyp = 3
/
ATOMIC_SPECIES
Tb 158.93 Tb.upf
Sm 150.36 Sm.upf
Ho 164.93 Ho.upf
CELL_PARAMETERS angstrom
6.0021 3.4653 5.3913
-6.0021 3.4653 5.3913
0.0000 -6.9306 5.3913
ATOMIC_POSITIONS crystal
Tb 0.0040 0.3661 0.8829
Tb 0.1172 0.9960 0.6339
Tb 0.2277 0.7528 0.3522
Tb 0.2472 0.6478 0.7723
Tb 0.3522 0.2277 0.7528
Tb 0.3661 0.8828 0.0040
Tb 0.6339 0.1172 0.9960
Tb 0.6478 0.7723 0.2472
Tb 0.7528 0.3522 0.2277
Tb 0.7723 0.2472 0.6478
Tb 0.8829 0.0040 0.3661
Tb 0.9960 0.6339 0.1172
Sm 0.0000 0.0000 0.0000
Sm 0.1017 0.3469 0.4233
Sm 0.3469 0.4233 0.1017
Sm 0.4233 0.1017 0.3469
Sm 0.5767 0.8983 0.6531
Sm 0.6531 0.5767 0.8983
Sm 0.8983 0.6531 0.5767
Ho 0.5000 0.5000 0.5000

---

In terms of stability, B leads; the second structure lies 417 meV per atom higher.

---

--- A ---
! Tb5SmHo4, optimized geometry, DFT PBE-GGA; values from VASP
! DOS(E_F) = 1.370 states/eV per atom
! volume = 321 Å³/cell
! SG = C2
&SYSTEM
  ibrav = 0, nat = 10, ntyp = 3
/
ATOMIC_SPECIES
Tb 158.93 Tb.upf
Sm 150.36 Sm.upf
Ho 164.93 Ho.upf
CELL_PARAMETERS angstrom
5.9177 -3.1571 0.0000
5.9177 3.1571 0.0000
-5.3298 0.0000 8.5844
ATOMIC_POSITIONS crystal
Tb 0.0000 0.0000 0.0000
Tb 0.4665 0.0086 0.9214
Tb 0.5997 0.1643 0.6832
Tb 0.8357 0.4003 0.3168
Tb 0.9914 0.5335 0.0786
Sm 0.4499 0.5501 0.0000
Ho 0.1524 0.7225 0.6069
Ho 0.2775 0.8476 0.3931
Ho 0.5452 0.0987 0.3133
Ho 0.9013 0.4548 0.6867

---

--- B ---
! Tb5SmHo4, optimized geometry, DFT PBE-GGA; values from VASP
! DOS(E_F) = 1.337 states/eV per atom
! volume = 316 Å³/cell
! SG = P1
&SYSTEM
  ibrav = 0, nat = 10, ntyp = 3
/
ATOMIC_SPECIES
Tb 158.93 Tb.upf
Sm 150.36 Sm.upf
Ho 164.93 Ho.upf
CELL_PARAMETERS angstrom
6.1496 0.0000 0.0000
2.0661 6.7995 0.0000
2.0564 1.2126 7.5655
ATOMIC_POSITIONS crystal
Tb 0.0000 0.0000 0.0000
Tb 0.1986 0.3017 0.5987
Tb 0.3993 0.1005 0.1995
Tb 0.5996 0.9005 0.7992
Tb 0.7992 0.2009 0.3991
Sm 0.5985 0.4015 0.7995
Ho 0.1987 0.8013 0.5983
Ho 0.3987 0.6015 0.1999
Ho 0.7990 0.7013 0.3989
Ho 0.9989 0.5014 0.0003

---

In terms of stability, B leads; the second structure lies 181 meV per atom higher.

---

--- A ---
! TbSm2Ho4, optimized geometry, DFT PBE-GGA; values from VASP
! DOS(E_F) = 1.590 states/eV per atom
! volume = 225 Å³/cell
! SG = P-1
&SYSTEM
  ibrav = 0, nat = 7, ntyp = 3
/
ATOMIC_SPECIES
Tb 158.93 Tb.upf
Sm 150.36 Sm.upf
Ho 164.93 Ho.upf
CELL_PARAMETERS angstrom
3.5155 0.0000 0.0000
0.2830 8.5549 0.0000
1.2800 3.9656 7.4819
ATOMIC_POSITIONS crystal
Tb 0.0000 0.0000 0.0000
Sm 0.4249 0.8697 0.7219
Sm 0.5751 0.1303 0.2781
Ho 0.0320 0.7177 0.4508
Ho 0.3689 0.4211 0.8476
Ho 0.6311 0.5789 0.1524
Ho 0.9680 0.2823 0.5492

---

--- B ---
! TbSm2Ho4, optimized geometry, DFT PBE-GGA; values from VASP
! DOS(E_F) = 1.682 states/eV per atom
! volume = 449 Å³/cell
! SG = P2_1/m
&SYSTEM
  ibrav = 0, nat = 14, ntyp = 3
/
ATOMIC_SPECIES
Tb 158.93 Tb.upf
Sm 150.36 Sm.upf
Ho 164.93 Ho.upf
CELL_PARAMETERS angstrom
6.0660 0.0000 0.0000
0.0000 6.5910 0.0000
-2.9754 0.0000 11.2275
ATOMIC_POSITIONS crystal
Tb 0.0256 0.2500 0.3593
Tb 0.9744 0.7500 0.6407
Sm 0.1546 0.2500 0.9471
Sm 0.3995 0.7500 0.5082
Sm 0.6005 0.2500 0.4918
Sm 0.8454 0.7500 0.0529
Ho 0.1476 0.2500 0.6626
Ho 0.2835 0.7500 0.9250
Ho 0.3446 0.5052 0.2111
Ho 0.3446 0.9948 0.2111
Ho 0.6554 0.0052 0.7889
Ho 0.6554 0.4948 0.7889
Ho 0.7165 0.2500 0.0750
Ho 0.8524 0.7500 0.3374

---

In terms of stability, A leads; the second structure lies 51 meV per atom higher.